Entry 1:
## PmYZnRu (PBE-GGA)

Data for a relaxed PmYZnRu crystal.

It has space group Amm2 (No. 38), with a = 4.356 Å, b = 3.998 Å, c = 10.641 Å, α = 90.00°, β = 90.00° and γ = 90.00°. The asymmetric unit holds Pm at (0.000, 0.000, 0.000), Y at (0.500, 0.000, 0.282), Zn at (0.500, 0.000, 0.576) and Ru at (0.000, 0.000, 0.718).

The total DFT energy (no corrections) comes out at -5.727 eV/atom. The crystal system is orthorhombic. As for the calculated formation energy: -0.2861 eV per atom. The calculated volume is 185.3 Å³ per cell. As for the offset from the most stable computed form: 0.0080 eV per atom.

---

Entry 2:
## UZnCdGa (PBE-GGA)

Data for a relaxed UZnCdGa crystal.

It has space group F-43m (No. 216), with a = 6.897 Å, b = 6.897 Å, c = 6.897 Å, α = 90.00°, β = 90.00° and γ = 90.00°. The asymmetric unit holds U at (0.000, 0.000, 0.000), Zn at (0.250, 0.250, 0.250), Cd at (0.000, 0.000, 0.500) and Ga at (0.250, 0.250, 0.750).

The total DFT energy (no corrections) comes out at -4.042 eV/atom. The crystal system is cubic. As for the calculated formation energy: 0.0845 eV per atom. The calculated volume is 328.1 Å³ per cell.

---

Entry 3:
## Tb3PmCd3 (PBE-GGA)

Data for a relaxed Tb3PmCd3 crystal.

It has space group Cmmm (No. 65), with a = 10.661 Å, b = 10.835 Å, c = 7.044 Å, α = 90.00°, β = 90.00° and γ = 90.00°. The asymmetric unit holds Tb at (0.000, 0.243, 0.000), Tb at (0.000, 0.246, 0.500), Tb at (0.235, 0.000, 0.500), Pm at (0.234, 0.000, 0.000), Cd at (0.000, 0.500, 0.250) and Cd at (0.250, 0.250, 0.253).

The total DFT energy (no corrections) comes out at -3.199 eV/atom. The crystal system is orthorhombic. As for the calculated formation energy: -0.1438 eV per atom. The calculated volume is 813.6 Å³ per cell.

---

Entry 4:
## CsHf2TaBr (PBE-GGA)

Data for a relaxed CsHf2TaBr crystal.

It has space group P4/mmm (No. 123), with a = 5.383 Å, b = 5.383 Å, c = 5.106 Å, α = 90.00°, β = 90.00° and γ = 90.00°. The asymmetric unit holds Cs at (0.000, 0.000, 0.000), Hf at (0.000, 0.500, 0.000), Ta at (0.000, 0.000, 0.500) and Br at (0.500, 0.500, 0.500).

The total DFT energy (no corrections) comes out at -4.188 eV/atom. The crystal system is tetragonal. Its uncorrected formation energy is 2.67 eV/atom. The calculated volume is 148.0 Å³ per cell.

---

Entry 5:
## TlTeN (PBE-GGA)

Data for a relaxed TlTeN crystal.

It has space group P2_1/c (No. 14), with a = 11.484 Å, b = 4.420 Å, c = 8.831 Å, α = 90.00°, β = 98.81° and γ = 90.00°. The asymmetric unit holds Tl at (0.121, 0.250, 0.399), Te at (0.161, 0.750, 0.157) and N at (0.462, 0.076, 0.483).

The total DFT energy (no corrections) comes out at -4.699 eV/atom. The crystal system is monoclinic. Its uncorrected formation energy is -0.09 eV/atom. The calculated volume is 442.9 Å³ per cell. As for the offset from the most stable computed form: 0.0000 eV per atom.

---

Entry 6:
## Rb3Tl4Pb2 (PBE-GGA)

Data for a relaxed Rb3Tl4Pb2 crystal.

It has space group C2/c (No. 15), with a = 17.161 Å, b = 11.715 Å, c = 7.044 Å, α = 90.00°, β = 95.53° and γ = 90.00°. The asymmetric unit holds Rb at (0.000, 0.064, 0.250), Rb at (0.111, 0.402, 0.410), Tl at (0.081, 0.272, 0.905), Tl at (0.178, 0.121, 0.621) and Pb at (0.230, 0.149, 0.153).

The total DFT energy (no corrections) comes out at -2.257 eV/atom. The crystal system is monoclinic. As for the calculated formation energy: -0.0588 eV per atom. The calculated volume is 1409.6 Å³ per cell. As for the offset from the most stable computed form: 0.0326 eV per atom.

---

Entry 7:
## Gd2ErHf (PBE-GGA)

Data for a relaxed Gd2ErHf crystal.

It has space group P4/mmm (No. 123), with a = 4.851 Å, b = 4.851 Å, c = 4.828 Å, α = 90.00°, β = 90.00° and γ = 90.00°. The asymmetric unit holds Gd at (0.000, 0.500, 0.000), Er at (0.000, 0.000, 0.500) and Hf at (0.500, 0.500, 0.500).

The total DFT energy (no corrections) comes out at -10.523 eV/atom. The crystal system is tetragonal. As for the calculated formation energy: 0.1463 eV per atom. The calculated volume is 113.6 Å³ per cell. As for the offset from the most stable computed form: 0.0280 eV per atom.

---

Entry 8:
## KTa2AuI (PBE-GGA)

Data for a relaxed KTa2AuI crystal.

It has space group P4/mmm (No. 123), with a = 4.836 Å, b = 4.836 Å, c = 5.572 Å, α = 90.00°, β = 90.00° and γ = 90.00°. The asymmetric unit holds K at (0.000, 0.000, 0.000), Ta at (0.000, 0.500, 0.000), Au at (0.500, 0.500, 0.500) and I at (0.000, 0.000, 0.500).

The total DFT energy (no corrections) comes out at -3.126 eV/atom. The crystal system is tetragonal. Its uncorrected formation energy is 2.80 eV/atom. The calculated volume is 130.3 Å³ per cell.

---

Entry 9:
## Cu2SF2 (PBE-GGA)

Data for a relaxed Cu2SF2 crystal.

It has space group P2_1/c (No. 14), with a = 8.412 Å, b = 5.883 Å, c = 6.119 Å, α = 90.00°, β = 107.04° and γ = 90.00°. The asymmetric unit holds Cu at (0.021, 0.206, 0.411), Cu at (0.358, 0.622, 0.596), S at (0.157, 0.629, 0.894), F at (0.222, 0.117, 0.931) and F at (0.474, 0.628, 0.279).

The total DFT energy (no corrections) comes out at -4.121 eV/atom. The crystal system is monoclinic. Its uncorrected formation energy is -0.91 eV/atom. The calculated volume is 289.5 Å³ per cell.

---

Entry 10:
## Ca2ZnGa2 (PBE-GGA)

Data for a relaxed Ca2ZnGa2 crystal.

It has space group P4/mbm (No. 127), with a = 7.096 Å, b = 7.096 Å, c = 4.706 Å, α = 90.00°, β = 90.00° and γ = 90.00°. The asymmetric unit holds Ca at (0.173, 0.327, 0.000), Zn at (0.000, 0.000, 0.500) and Ga at (0.131, 0.631, 0.500).

The total DFT energy (no corrections) comes out at -2.612 eV/atom. The crystal system is tetragonal. As for the calculated formation energy: -0.3453 eV per atom. The calculated volume is 236.9 Å³ per cell. As for the offset from the most stable computed form: 0.0892 eV per atom.

---

Entry 11:
## TiCo2As (PBE-GGA)

Data for a relaxed TiCo2As crystal.

It has space group P4/mmm (No. 123), with a = 3.786 Å, b = 3.786 Å, c = 3.512 Å, α = 90.00°, β = 90.00° and γ = 90.00°. The asymmetric unit holds Ti at (0.000, 0.000, 0.000), Co at (0.000, 0.500, 0.500) and As at (0.500, 0.500, 0.000).

The total DFT energy (no corrections) comes out at -7.054 eV/atom. The crystal system is tetragonal. As for the calculated formation energy: -0.3649 eV per atom. The calculated volume is 50.3 Å³ per cell.

---

Entry 12:
## Li5Pr3Pt2 (PBE-GGA)

Data for a relaxed Li5Pr3Pt2 crystal.

It has space group Ibam (No. 72), with a = 11.734 Å, b = 12.752 Å, c = 6.261 Å, α = 90.00°, β = 90.00° and γ = 90.00°. The asymmetric unit holds Li at (0.000, 0.000, 0.250), Li at (0.000, 0.234, 0.250), Li at (0.164, 0.085, 0.000), Pr at (0.000, 0.500, 0.250), Pr at (0.240, 0.343, 0.000) and Pt at (0.138, 0.347, 0.500).

The total DFT energy (no corrections) comes out at -3.947 eV/atom. The crystal system is orthorhombic. As for the calculated formation energy: -0.3477 eV per atom. The calculated volume is 936.8 Å³ per cell.

---

Entry 13:
## La2AlAs (PBE-GGA)

Data for a relaxed La2AlAs crystal.

It has space group Cmmm (No. 65), with a = 6.723 Å, b = 8.175 Å, c = 3.839 Å, α = 90.00°, β = 90.00° and γ = 90.00°. The asymmetric unit holds La at (0.250, 0.250, 0.000), Al at (0.000, 0.000, 0.500) and As at (0.000, 0.500, 0.500).

The total DFT energy (no corrections) comes out at -5.279 eV/atom. The crystal system is orthorhombic. As for the calculated formation energy: -0.7169 eV per atom. The calculated volume is 211.0 Å³ per cell. As for the offset from the most stable computed form: 0.1230 eV per atom.

---

Entry 14:
## CaZnIn2 (PBE-GGA)

Data for a relaxed CaZnIn2 crystal.

It has space group Pnma (No. 62), with a = 8.398 Å, b = 7.768 Å, c = 6.064 Å, α = 90.00°, β = 90.00° and γ = 90.00°. The asymmetric unit holds Ca at (0.029, 0.250, 0.112), Zn at (0.092, 0.750, 0.387) and In at (0.192, 0.049, 0.623).

The total DFT energy (no corrections) comes out at -2.455 eV/atom. The crystal system is orthorhombic. As for the calculated formation energy: -0.2672 eV per atom. The calculated volume is 395.5 Å³ per cell.

---

Entry 15:
## Dy2ScZn (PBE-GGA)

Data for a relaxed Dy2ScZn crystal.

It has space group Fm-3m (No. 225), with a = 7.363 Å, b = 7.363 Å, c = 7.363 Å, α = 90.00°, β = 90.00° and γ = 90.00°. The asymmetric unit holds Dy at (0.250, 0.250, 0.250), Sc at (0.000, 0.000, 0.000) and Zn at (0.000, 0.000, 0.500).

The total DFT energy (no corrections) comes out at -4.212 eV/atom. The crystal system is cubic. As for the calculated formation energy: -0.0098 eV per atom. The calculated volume is 399.2 Å³ per cell. As for the offset from the most stable computed form: 0.1320 eV per atom.

---

Entry 16:
## Cr2NiPt (PBE-GGA)

Data for a relaxed Cr2NiPt crystal.

It has space group I-42d (No. 122), with a = 3.543 Å, b = 3.543 Å, c = 17.213 Å, α = 90.00°, β = 90.00° and γ = 90.00°. The asymmetric unit holds Cr at (0.202, 0.250, 0.125), Ni at (0.000, 0.000, 0.000) and Pt at (0.000, 0.000, 0.500).

The total DFT energy (no corrections) comes out at -7.401 eV/atom. The crystal system is tetragonal. As for the calculated formation energy: 0.3659 eV per atom. The calculated volume is 216.1 Å³ per cell.

---

Entry 17:
## PrNd2 (PBE-GGA)

Data for a relaxed PrNd2 crystal.

It has space group I4/mmm (No. 139), with a = 3.693 Å, b = 3.693 Å, c = 15.702 Å, α = 90.00°, β = 90.00° and γ = 90.00°. The asymmetric unit holds Pr at (0.000, 0.000, 0.000) and Nd at (0.000, 0.000, 0.333).

The total DFT energy (no corrections) comes out at -4.758 eV/atom. The crystal system is tetragonal. As for the calculated formation energy: 0.0139 eV per atom. The calculated volume is 214.1 Å³ per cell. As for the offset from the most stable computed form: 0.0040 eV per atom.

---

Entry 18:
## CrNi2Ir (PBE-GGA)

Data for a relaxed CrNi2Ir crystal.

It has space group P-1 (No. 2), with a = 4.444 Å, b = 4.468 Å, c = 5.118 Å, α = 90.32°, β = 105.93° and γ = 98.93°. The asymmetric unit holds Cr at (0.240, 0.372, 0.306), Ni at (0.247, 0.883, 0.060), Ni at (0.254, 0.882, 0.556) and Ir at (0.245, 0.380, 0.801).

The total DFT energy (no corrections) comes out at -7.578 eV/atom. The crystal system is triclinic. As for the calculated formation energy: -0.0658 eV per atom. The calculated volume is 96.4 Å³ per cell.

---

Entry 19:
## CeSiI (PBE-GGA)

Data for a relaxed CeSiI crystal.

It has space group Cmcm (No. 63), with a = 4.152 Å, b = 23.857 Å, c = 3.942 Å, α = 90.00°, β = 90.00° and γ = 90.00°. The asymmetric unit holds Ce at (0.000, 0.074, 0.250), Si at (0.000, 0.472, 0.250) and I at (0.000, 0.175, 0.750).

The total DFT energy (no corrections) comes out at -5.194 eV/atom. The crystal system is orthorhombic. Its uncorrected formation energy is -0.89 eV/atom. The calculated volume is 390.5 Å³ per cell. As for the offset from the most stable computed form: 0.1357 eV per atom.

---

Entry 20:
## Pm4Tl2Cd (PBE-GGA)

Data for a relaxed Pm4Tl2Cd crystal.

It has space group R-3m (No. 166, hexagonal axes), with a = 5.4008 Å, b = 5.4008 Å, c = 25.9606 Å, α = 90.00°, β = 90.00° and γ = 120.00°. The asymmetric unit holds Pm at (0.0000, 0.0000, 0.1185), Pm at (0.0000, 0.0000, 0.3708), Tl at (0.0000, 0.0000, 0.2468) and Cd at (0.0000, 0.0000, 0.5000).

The total DFT energy (no corrections) comes out at -3.759 eV/atom. The crystal system is trigonal. As for the calculated formation energy: -0.2372 eV per atom. The calculated volume is 655.8 Å³ per cell. As for the offset from the most stable computed form: 0.0000 eV per atom.